Record 1
Compound: Li2PuZrTe4
Source: Alexandria via LeMat-Bulk
Functional: PBE
Structure: optimized geometry

```
Li2PuZrTe4
1.0
-1.193 3.560 1.911
-1.643 -3.800 6.055
7.160 2.188 0.395
Li Pu Zr Te
2 1 1 4
Direct
0.500 0.000 0.500
0.000 0.500 0.500
0.000 0.000 0.000
0.500 0.500 0.000
0.500 0.267 0.258
0.500 0.733 0.742
0.000 0.263 0.749
0.000 0.737 0.251
```

Properties
SG: P2/m, No. 10
Total moment, μB per cell: 5.9
Formation energy from raw total energies, eV per atom: -0.961

Record 2
Compound: MnCr2Tc
Source: Alexandria via LeMat-Bulk
Functional: PBE
Structure: optimized geometry

```
MnCr2Tc
1.0
8.520 0.019 0.011
8.114 2.599 0.011
8.114 1.277 2.264
Cr Mn Tc
2 1 1
Direct
0.995 0.995 0.995
0.505 0.505 0.505
0.250 0.250 0.250
0.750 0.750 0.750
```

Properties
Energy relative to the lowest polymorph listed for this composition, meV/atom: 201.5
SG: R-3m, No. 166
Total moment, μB per cell: 0.0
Formation enthalpy at 0 K, eV/atom: 0.255

Record 3
Compound: GaCuGe3
Source: Alexandria via LeMat-Bulk
Functional: PBE
Structure: optimized geometry

```
GaCuGe3
1.0
-3.792 1.079 -2.917
0.285 -4.459 -2.020
-3.097 -1.731 3.385
Ge Cu Ga
3 1 1
Direct
0.000 0.500 0.000
0.000 0.000 0.500
0.500 0.000 0.000
0.500 0.500 0.500
0.000 0.000 0.000
```

Properties
Energy relative to the lowest polymorph listed for this composition, meV/atom: 418.9
SG: Pm-3m, No. 221
Total moment, μB per cell: 0.0
Formation enthalpy at 0 K, eV/atom: 0.879

Record 4
Compound: Li2AlAg
Source: Alexandria via LeMat-Bulk
Functional: PBE
Structure: optimized geometry

```
Li2AlAg
1.0
3.166 0.000 0.000
0.000 3.166 0.000
0.000 0.000 6.513
Ag Al Li
1 1 2
Direct
0.000 0.000 0.501
0.500 0.500 0.747
0.000 0.000 0.996
0.500 0.500 0.256
```

Properties
SG: P4mm, No. 99
Total moment, μB per cell: 0.0
Formation enthalpy at 0 K, eV/atom: -0.149

Record 5
Compound: Ca5Pt2N6
Source: Alexandria via LeMat-Bulk
Functional: PBE
Structure: optimized geometry

```
Ca5Pt2N6
1.0
2.116 -5.370 -2.013
5.919 0.352 -1.489
5.496 -4.552 9.830
Ca Pt N
10 4 12
Direct
0.615 0.385 0.250
0.385 0.615 0.750
0.194 0.687 0.501
0.313 0.806 0.999
0.806 0.313 0.499
0.687 0.194 0.001
0.960 0.708 0.232
0.292 0.040 0.268
0.040 0.292 0.768
0.708 0.960 0.732
0.179 0.292 0.042
0.708 0.821 0.458
0.821 0.708 0.958
0.292 0.179 0.542
0.323 0.420 0.130
0.580 0.677 0.370
0.677 0.580 0.870
0.420 0.323 0.630
0.674 0.746 0.112
0.254 0.326 0.388
0.326 0.254 0.888
0.746 0.674 0.612
0.996 0.093 0.126
0.907 0.004 0.374
0.004 0.907 0.874
0.093 0.996 0.626
```

Properties
SG: C2/c, No. 15
Total moment, μB per cell: 0.0
Formation energy from raw total energies, eV per atom: -0.368

Record 6
Compound: Zn2TcMo
Source: Alexandria via LeMat-Bulk
Functional: PBE
Structure: optimized geometry

```
Zn2TcMo
1.0
-0.324 8.980 -0.697
-2.769 8.353 -1.947
-2.638 8.575 0.858
Mo Tc Zn
1 1 2
Direct
0.504 0.504 0.504
0.248 0.248 0.248
0.998 0.998 0.998
0.751 0.751 0.751
```

Properties
Energy relative to the lowest polymorph listed for this composition, meV/atom: 66.7
SG: R3m, No. 160
Total moment, μB per cell: 0.0
Formation enthalpy at 0 K, eV/atom: 0.100

Record 7
Compound: Sm2Ho9Sc
Source: Alexandria via LeMat-Bulk
Functional: PBE
Structure: optimized geometry

```
Sm2Ho9Sc
1.0
4.984 0.000 0.000
0.000 4.984 0.000
0.000 0.000 14.920
Sm Ho Sc
2 9 1
Direct
0.000 0.000 0.331
0.000 0.000 0.669
0.500 0.500 0.000
0.500 0.500 0.330
0.500 0.500 0.670
0.500 0.000 0.161
0.500 0.000 0.500
0.500 0.000 0.839
0.000 0.500 0.161
0.000 0.500 0.500
0.000 0.500 0.839
0.000 0.000 0.000
```

Properties
SG: P4/mmm, No. 123
Total moment, μB per cell: 0.0
Formation enthalpy at 0 K, eV/atom: 0.031

Record 8
Compound: Ac2La2PrSm
Source: Alexandria via LeMat-Bulk
Functional: PBE
Structure: optimized geometry

```
Ac2La2PrSm
1.0
-0.909 -1.992 2.937
-2.184 -5.073 -4.117
17.281 -7.599 0.195
Ac La Pr Sm
4 4 2 2
Direct
0.500 0.720 0.312
0.500 0.280 0.688
0.000 0.780 0.812
0.000 0.220 0.188
0.500 0.213 0.362
0.000 0.713 0.138
0.500 0.787 0.638
0.000 0.287 0.862
0.000 0.000 0.000
0.500 0.500 0.500
0.500 0.500 0.000
0.000 0.000 0.500
```

Properties
SG: Pnnm, No. 58
Total moment, μB per cell: 0.0
Formation enthalpy at 0 K, eV/atom: 0.234

Record 9
Compound: SrBeRh2
Source: Alexandria via LeMat-Bulk
Functional: PBE
Structure: optimized geometry

```
SrBeRh2
1.0
4.843 0.000 0.000
0.000 4.843 0.000
2.422 2.422 7.606
Sr Rh Be
2 4 2
Direct
0.000 0.000 0.000
0.750 0.250 0.500
0.376 0.125 0.250
0.374 0.625 0.250
0.375 0.624 0.750
0.875 0.626 0.750
0.500 0.500 0.000
0.250 0.750 0.500
```

Properties
SG: I4_1/amd, No. 141
Total moment, μB per cell: 0.0
Formation enthalpy at 0 K, eV/atom: 0.025

Record 10
Compound: Li5DyAu6
Source: Alexandria via LeMat-Bulk
Functional: PBE
Structure: optimized geometry

```
Li5DyAu6
1.0
4.627 -0.004 0.013
2.308 6.889 0.007
-0.019 0.000 6.499
Li Au Dy
5 6 1
Direct
0.664 0.675 0.500
0.326 0.348 0.000
0.000 0.000 0.500
0.674 0.652 0.000
0.336 0.325 0.500
0.827 0.345 0.265
0.827 0.345 0.735
0.500 0.000 0.727
0.500 0.000 0.273
0.173 0.655 0.265
0.173 0.655 0.735
0.000 0.000 0.000
```

Properties
SG: P2/m, No. 10
Total moment, μB per cell: 0.0
Formation enthalpy at 0 K, eV/atom: -0.590

Record 11
Compound: KCu2Au2
Source: Alexandria via LeMat-Bulk
Functional: PBE
Structure: optimized geometry

```
KCu2Au2
1.0
4.289 0.000 0.000
0.000 4.289 0.000
2.145 2.145 5.765
K Au Cu
1 2 2
Direct
0.000 0.000 0.000
0.380 0.380 0.241
0.620 0.620 0.759
0.750 0.250 0.500
0.250 0.750 0.500
```

Properties
Energy relative to the lowest polymorph listed for this composition, meV/atom: 64.2
SG: I4/mmm, No. 139
Total moment, μB per cell: 0.0
Formation enthalpy at 0 K, eV/atom: 0.035

Record 12
Compound: MgSc2Ta
Source: Alexandria via LeMat-Bulk
Functional: PBE
Structure: optimized geometry

```
MgSc2Ta
1.0
4.927 0.000 0.000
2.463 4.267 0.000
2.463 1.422 4.023
Mg Sc Ta
1 2 1
Direct
0.500 0.500 0.500
0.000 0.000 0.000
0.250 0.250 0.250
0.750 0.750 0.750
```

Properties
SG: F-43m, No. 216
Total moment, μB per cell: 1.1
Formation enthalpy at 0 K, eV/atom: 0.347